Compound: YTiBi2
Source: Alexandria
Functional: PBE
Structure: relaxed

Properties
Energy above the most stable polymorph in this dataset (meV/atom): 350
Crystal system: tetragonal
ΔE_f (eV per atom): 0.09
DOS(E_F) (states/eV/atom): 1.0169

a b c (Å): 6.810 6.810 13.280
angles (deg): 90.00 90.00 90.00
Space group I-42d (No. 122)
One atom of each set of equivalent atoms:
Y (0.000, 0.000, 0.000) (multiplicity 4)
Ti (0.000, 0.000, 0.500) (multiplicity 4)
Bi (0.212, 0.250, 0.625) (multiplicity 8)

***

Compound: Y2Ti2Bi
Source: Alexandria
Functional: PBE
Structure: relaxed

Properties
Crystal system: tetragonal
ΔE_f (eV per atom): -0.07
DOS(E_F) (states/eV/atom): 0.5143

a b c (Å): 7.474 7.474 4.493
angles (deg): 90.00 90.00 90.00
Space group P4/mbm (No. 127)
One atom of each set of equivalent atoms:
Y (0.164, 0.336, 0.000) (multiplicity 4)
Ti (0.127, 0.627, 0.500) (multiplicity 4)
Bi (0.000, 0.000, 0.500) (multiplicity 2)

***

Compound: YTi3Bi
Source: Alexandria
Functional: PBE
Structure: relaxed

Properties
Energy above the most stable polymorph in this dataset (meV/atom): 0
Crystal system: cubic
ΔE_f (eV per atom): 0.85
DOS(E_F) (states/eV/atom): 1.7967

a b c (Å): 5.172 5.172 5.172
angles (deg): 90.00 90.00 90.00
Space group Pm-3m (No. 221)
One atom of each set of equivalent atoms:
Y (0.000, 0.000, 0.000) (multiplicity 1)
Ti (0.000, 0.500, 0.500) (multiplicity 3)
Bi (0.500, 0.500, 0.500) (multiplicity 1)

***

> What is the formula in the first record?

YTiBi2

***

> Which formula does entry 1 have?

YTiBi2

***

> Look up the ΔE_f of the second one.

-0.07 eV per atom

***

Please write out number 1 again, unchanged.
Compound: YTiBi2
Source: Alexandria
Functional: PBE
Structure: relaxed

Properties
Energy above the most stable polymorph in this dataset (meV/atom): 350
Crystal system: tetragonal
ΔE_f (eV per atom): 0.09
DOS(E_F) (states/eV/atom): 1.0169

a b c (Å): 6.810 6.810 13.280
angles (deg): 90.00 90.00 90.00
Space group I-42d (No. 122)
One atom of each set of equivalent atoms:
Y (0.000, 0.000, 0.000) (multiplicity 4)
Ti (0.000, 0.000, 0.500) (multiplicity 4)
Bi (0.212, 0.250, 0.625) (multiplicity 8)